{"formula": "Ba2YMn2O6", "functional": "PBE with a Hubbard U", "state": "relaxed", "final_energy_ev_per_fu": -75.7, "magnetic_moment_mub_per_fu": 3.0, "space_group": "R-3m, No. 166", "dos_at_fermi_per_ev_atom": 0.28, "lattice": [[-2.245, -5.421, 1.504], [3.558, -4.120, 2.655], [-1.049, -1.128, 6.563]], "species": ["Ba", "Ba", "Y", "Mn", "Mn", "O", "O", "O", "O", "O", "O"], "frac_coords": [[0.782, 0.782, 0.653], [0.218, 0.218, 0.347], [0.000, 0.000, 0.000], [0.442, 0.442, 0.674], [0.558, 0.558, 0.326], [0.752, 0.752, 0.253], [0.244, 0.752, 0.253], [0.752, 0.244, 0.253], [0.248, 0.756, 0.747], [0.756, 0.248, 0.747], [0.248, 0.248, 0.747]]}